## i
Entry from the Alexandria database: crystalline PrSmCuPt at its relaxed geometry (PBE-GGA).

Cell: 5.0859 5.0859 5.0859 Å, 60.00 60.00 60.00°
With the nearest neighbours (Å) after each atom.
Element x y z (fractional)
Sm  0.5000  0.5000  0.5000  4 Cu 3.11, 4 Pt 3.11
Pt  0.7500  0.7500  0.7500  4 Sm 3.11, 4 Pr 3.11
Pr  0.0000  0.0000  0.0000  4 Cu 3.11, 4 Pt 3.11
Cu  0.2500  0.2500  0.2500  4 Pr 3.11, 4 Sm 3.11

Values from the calculation:
Volume   23.26 Å³ per atom
Size of the total moment   0.00 μB per cell
DOS at the Fermi energy   0.591 states/eV/atom

## ii
Entry from the Alexandria database: crystalline PrSmCuPt at its relaxed geometry (PBE-GGA).

Cell: 3.9239 4.5135 5.7839 Å, 90.00 109.83 90.00°
With the nearest neighbours (Å) after each atom.
Element x y z (fractional)
Pr  0.8605  0.5000  0.7211  3 Pt 3.07-3.08, 4 Cu 3.07
Cu  0.4252  0.0000  0.8504  2 Pt 2.80, 2 Sm 3.02, 4 Pr 3.07
Sm  0.1366  0.0000  0.2732  3 Cu 3.02-3.14, 4 Pt 3.06
Pt  0.5777  0.5000  0.1554  2 Cu 2.80, 4 Sm 3.06, 3 Pr 3.07-3.08

Values from the calculation:
Volume   24.09 Å³ per atom
Size of the total moment   0.00 μB per cell
DOS at the Fermi energy   0.850 states/eV/atom

Which structure loses on stability? i does.

## i
Entry from the Alexandria database: crystalline PrThCuPt at its relaxed geometry (PBE-GGA).

Cell: 5.1136 5.1136 5.1136 Å, 60.00 60.00 60.00°
With the nearest neighbours (Å) after each atom.
Element x y z (fractional)
Pt  0.5000  0.5000  0.5000  4 Pr 3.13, 4 Th 3.13
Th  0.7500  0.7500  0.7500  4 Pt 3.13, 4 Cu 3.13
Pr  0.2500  0.2500  0.2500  4 Cu 3.13, 4 Pt 3.13
Cu  0.0000  0.0000  0.0000  4 Th 3.13, 4 Pr 3.13

Values from the calculation:
Volume   23.64 Å³ per atom
Size of the total moment   0.00 μB per cell
DOS at the Fermi energy   0.791 states/eV/atom

## ii
Entry from the Alexandria database: crystalline PrThCuPt at its relaxed geometry (PBE-GGA).

Cell: 3.9197 4.3669 6.0901 Å, 90.00 108.77 90.00°
With the nearest neighbours (Å) after each atom.
Element x y z (fractional)
Cu  0.5751  0.5000  0.1501  2 Pt 2.88, 4 Pr 3.03, 2 Th 3.05
Pr  0.1414  0.0000  0.2827  4 Cu 3.03, 3 Pt 3.12-3.30
Th  0.8720  0.5000  0.7441  4 Pt 2.97, 2 Cu 3.05
Pt  0.4116  0.0000  0.8231  2 Cu 2.88, 4 Th 2.97, 1 Pr 3.12

Values from the calculation:
Volume   24.67 Å³ per atom
Size of the total moment   0.00 μB per cell
DOS at the Fermi energy   0.837 states/eV/atom

Which structure loses on stability? i does.

## i
Entry from the Alexandria database: crystalline PrTmCuPt at its relaxed geometry (PBE-GGA).

Cell: 5.0033 5.0033 5.0033 Å, 60.00 60.00 60.00°
With the nearest neighbours (Å) after each atom.
Element x y z (fractional)
Pt  0.7500  0.7500  0.7500  4 Tm 3.06, 4 Pr 3.06
Pr  0.0000  0.0000  0.0000  4 Cu 3.06, 4 Pt 3.06
Cu  0.2500  0.2500  0.2500  4 Pr 3.06, 4 Tm 3.06
Tm  0.5000  0.5000  0.5000  4 Pt 3.06, 4 Cu 3.06

Values from the calculation:
Volume   22.14 Å³ per atom
Size of the total moment   0.00 μB per cell
DOS at the Fermi energy   0.429 states/eV/atom

## ii
Entry from the Alexandria database: crystalline PrTmCuPt at its relaxed geometry (PBE-GGA).

Cell: 3.8402 4.4016 5.7685 Å, 90.00 109.44 90.00°
With the nearest neighbours (Å) after each atom.
Element x y z (fractional)
Cu  0.5737  0.5000  0.1474  2 Pt 2.77, 2 Tm 2.98, 4 Pr 3.01
Pt  0.4197  0.0000  0.8394  2 Cu 2.77, 4 Tm 2.98, 3 Pr 3.02-3.09
Tm  0.8647  0.5000  0.7295  3 Cu 2.98-3.17, 4 Pt 2.98
Pr  0.1419  0.0000  0.2837  4 Cu 3.01, 3 Pt 3.02-3.09

Values from the calculation:
Volume   22.99 Å³ per atom
Size of the total moment   0.00 μB per cell
DOS at the Fermi energy   0.744 states/eV/atom

Which structure loses on stability? i does.

## i
Entry from the Alexandria database: crystalline PrPuCu2 at its relaxed geometry (PBE-GGA).

Cell: 3.5206 3.5206 7.1635 Å, 90.00 90.00 90.00°
With the nearest neighbours (Å) after each atom.
Element x y z (fractional)
Cu  0.0000  0.0000  0.7636  4 Pu 3.01, 4 Pr 3.12
Cu  0.0000  0.0000  0.2364  4 Pu 3.01, 4 Pr 3.12
Pu  0.5000  0.5000  0.0000  8 Cu 3.01
Pr  0.5000  0.5000  0.5000  8 Cu 3.12

Values from the calculation:
Volume   22.20 Å³ per atom
Size of the total moment   5.45 μB per cell
DOS at the Fermi energy   2.341 states/eV/atom

## ii
Entry from the Alexandria database: crystalline PrPuCu2 at its relaxed geometry (PBE-GGA).

Cell: 5.0250 5.0250 5.0250 Å, 60.00 60.00 60.00°
With the nearest neighbours (Å) after each atom.
Element x y z (fractional)
Pu  0.0000  0.0000  0.0000  8 Cu 3.08
Cu  0.7500  0.7500  0.7500  4 Pr 3.08, 4 Pu 3.08
Cu  0.2500  0.2500  0.2500  4 Pr 3.08, 4 Pu 3.08
Pr  0.5000  0.5000  0.5000  8 Cu 3.08

Values from the calculation:
Volume   22.43 Å³ per atom
Size of the total moment   5.91 μB per cell
DOS at the Fermi energy   2.754 states/eV/atom

Which structure loses on stability? ii does.

## i
Entry from the Alexandria database: crystalline PrPuCu4 at its relaxed geometry (PBE-GGA).

Cell: 3.9627 3.9627 8.1134 Å, 104.14 104.14 90.00°
With the nearest neighbours (Å) after each atom.
Element x y z (fractional)
Pr  0.0000  0.0000  0.0000  12 Cu 3.07-3.27
Cu  0.6707  0.1707  0.3414  3 Cu 2.40-2.42
Cu  0.8293  0.3293  0.6586  3 Cu 2.40-2.42
Cu  0.5818  0.5818  0.1636  3 Cu 2.40-2.49
Cu  0.4182  0.4182  0.8364  3 Cu 2.40-2.49
Pu  0.2500  0.7500  0.5000  12 Cu 3.05-3.24

Values from the calculation:
Volume   19.93 Å³ per atom
Size of the total moment   5.80 μB per cell
DOS at the Fermi energy   2.257 states/eV/atom

## ii
Entry from the Alexandria database: crystalline PrPuCu4 at its relaxed geometry (PBE-GGA).

Cell: 5.3240 5.3240 5.3240 Å, 60.00 60.00 60.00°
With the nearest neighbours (Å) after each atom.
Element x y z (fractional)
Cu  0.6256  0.6256  0.1231  6 Cu 2.65-2.68
Cu  0.6256  0.6256  0.6256  6 Cu 2.65-2.68
Pr  0.2500  0.2500  0.2500  12 Cu 3.12, 4 Pu 3.26
Cu  0.1231  0.6256  0.6256  6 Cu 2.65-2.68
Cu  0.6256  0.1231  0.6256  6 Cu 2.65-2.68
Pu  0.0000  0.0000  0.0000  12 Cu 3.12, 4 Pr 3.26

Values from the calculation:
Volume   17.78 Å³ per atom
Size of the total moment   6.13 μB per cell
DOS at the Fermi energy   1.970 states/eV/atom

Which structure loses on stability? ii does.

## i
Entry from the Alexandria database: crystalline PrCuRh at its relaxed geometry (PBE-GGA).

Cell: 3.5140 3.5140 5.3633 Å, 109.12 109.12 90.00°
With the nearest neighbours (Å) after each atom.
Element x y z (fractional)
Pr  0.9467  0.9467  0.8934  5 Cu 2.88-3.11, 5 Rh 2.97-3.06
Rh  0.2591  0.2591  0.5183  4 Cu 2.71, 1 Pr 2.97
Cu  0.6442  0.6442  0.2883  4 Rh 2.71, 1 Pr 2.88

Values from the calculation:
Volume   19.56 Å³ per atom
Size of the total moment   0.00 μB per cell
DOS at the Fermi energy   0.719 states/eV/atom

## ii
Entry from the Alexandria database: crystalline PrCuRh at its relaxed geometry (PBE-GGA).

Cell: 4.4823 5.3816 10.2781 Å, 90.00 90.00 90.00°
With the nearest neighbours (Å) after each atom.
Element x y z (fractional)
Rh  0.2500  0.6306  0.4556  3 Cu 2.55-2.66, 2 Rh 2.80, 2 Pr 2.83-2.84
Rh  0.7500  0.3694  0.5444  3 Cu 2.55-2.66, 2 Rh 2.80, 2 Pr 2.83-2.84
Cu  0.2500  0.3325  0.6620  3 Rh 2.55-2.66
Rh  0.2500  0.1306  0.0444  3 Cu 2.55-2.66, 2 Rh 2.80, 2 Pr 2.83-2.84
Pr  0.2500  0.1321  0.3682  4 Rh 2.83-3.15, 2 Cu 3.09
Cu  0.7500  0.6675  0.3380  3 Rh 2.55-2.66
Pr  0.2500  0.6321  0.1318  4 Rh 2.83-3.15, 2 Cu 3.09
Pr  0.7500  0.3679  0.8682  4 Rh 2.83-3.15, 2 Cu 3.09
Pr  0.7500  0.8679  0.6318  4 Rh 2.83-3.15, 2 Cu 3.09
Rh  0.7500  0.8694  0.9556  3 Cu 2.55-2.66, 2 Rh 2.80, 2 Pr 2.83-2.84
Cu  0.7500  0.1675  0.1620  3 Rh 2.55-2.66
Cu  0.2500  0.8325  0.8380  3 Rh 2.55-2.66

Values from the calculation:
Volume   20.66 Å³ per atom
Size of the total moment   0.00 μB per cell
DOS at the Fermi energy   0.634 states/eV/atom

Which structure loses on stability? i does.

## i
Entry from the Alexandria database: crystalline PrSmCuRh at its relaxed geometry (PBE-GGA).

Cell: 3.9260 4.4656 5.6825 Å, 90.00 110.21 90.00°
With the nearest neighbours (Å) after each atom.
Element x y z (fractional)
Rh  0.4197  0.0000  0.8394  2 Cu 2.77, 3 Pr 2.97-3.07, 4 Sm 3.03
Sm  0.8651  0.5000  0.7301  3 Cu 2.97-3.11, 4 Rh 3.03
Cu  0.5738  0.5000  0.1477  2 Rh 2.77, 2 Sm 2.97, 4 Pr 3.06
Pr  0.1414  0.0000  0.2828  3 Rh 2.97-3.07, 4 Cu 3.06

Values from the calculation:
Volume   23.37 Å³ per atom
Size of the total moment   0.00 μB per cell
DOS at the Fermi energy   0.714 states/eV/atom

## ii
Entry from the Alexandria database: crystalline PrSmCuRh at its relaxed geometry (PBE-GGA).

Cell: 5.0366 5.0366 5.0366 Å, 60.00 60.00 60.00°
With the nearest neighbours (Å) after each atom.
Element x y z (fractional)
Rh  0.7500  0.7500  0.7500  4 Pr 3.08, 4 Sm 3.08
Sm  0.5000  0.5000  0.5000  4 Rh 3.08, 4 Cu 3.08
Pr  0.0000  0.0000  0.0000  4 Cu 3.08, 4 Rh 3.08
Cu  0.2500  0.2500  0.2500  4 Pr 3.08, 4 Sm 3.08

Values from the calculation:
Volume   22.59 Å³ per atom
Size of the total moment   0.00 μB per cell
DOS at the Fermi energy   0.992 states/eV/atom

Which structure loses on stability? ii does.